Density functional theory data (PBE) for crystalline ScAu2Br at its relaxed geometry.

## Properties
polymorph energy (0 for the lowest one): 0.189 eV per atom
raw total energy: -4.135 eV per atom
magnetization: 0.00 μB per atom
formation energy (no corrections): -0.50 eV/atom

a b c (Å): 6.384 6.384 6.384
angles (deg): 100.42 100.42 129.66
Fractional positions:
Sc (0.000, 0.000, 0.000)
Sc (0.750, 0.250, 0.500)
Au (0.103, 0.125, 0.478)
Au (0.375, 0.897, 0.022)
Au (0.647, 0.625, 0.522)
Au (0.875, 0.353, 0.978)
Br (0.250, 0.750, 0.500)
Br (0.500, 0.500, 0.000)